Entry from Alexandria: a geometry-optimized Cs2TeS structure (GGA-PBE).

Computed properties:
SG: Fm-3m, No. 225
ΔE_f (raw): -0.46 eV/atom
Crystal system: cubic
Distance to the lowest polymorph of the same formula: 449 meV per atom
Electronic total energy: -10.807 eV/cell
N(E_F): 0.899 states/eV per atom

abc: 6.280 6.280 6.280
angles: 60.00 60.00 60.00
Element x y z (fractional)
1 Cs 0.750 0.750 0.750
2 Cs 0.250 0.250 0.250
3 Te 0.500 0.500 0.500
4 S 0.000 0.000 0.000